This record from Alexandria via LeMat-Bulk describes a relaxed NdGdTmPu crystal. The functional is PBE-GGA.

Properties
E_form   0.192 eV/atom
Density of states at the Fermi level   12.17 states/eV/f.u.

Lattice parameters (Å, degrees): 7.961 7.961 7.961 90.00 90.00 90.00
Space group F-43m (No. 216)
Unique sites:
Nd1 0.000 0.000 0.000 x4
Gd1 0.000 0.000 0.500 x4
Tm1 0.250 0.250 0.250 x4
Pu1 0.250 0.250 0.750 x4